Entry from the Alexandria database: crystalline Li2BiSbH at its relaxed geometry (GGA-PBE).

Unit cell a=4.692 b=4.692 c=4.489 alpha=90.00 beta=90.00 gamma=90.00
Fractional positions:
Li1 0.000 0.500 0.000
Li2 0.500 0.000 0.000
Bi1 0.000 0.000 0.500
Sb1 0.500 0.500 0.500
H1 0.000 0.000 0.000

Properties
M_tot ... 0.000 μB/atom
Uncorrected energy ... -3.21 eV per atom
Energy above the lowest structure with this stoichiometry ... 0.0054 eV/atom
SG ... P4/mmm (123)
N(E_F) ... 2.04 states/eV/f.u.

***

Entry from the Alexandria database: crystalline Li2BiSbH at its relaxed geometry (GGA-PBE).

Unit cell a=4.740 b=4.740 c=4.321 alpha=90.00 beta=90.00 gamma=90.00
Fractional positions:
Li1 0.000 0.500 0.000
Li2 0.500 0.000 0.000
Bi1 0.000 0.000 0.500
Sb1 0.500 0.500 0.500
H1 0.500 0.500 0.000

Properties
M_tot ... 0.000 μB/atom
Uncorrected energy ... -3.21 eV per atom
Energy above the lowest structure with this stoichiometry ... 0.0000 eV/atom
SG ... P4/mmm (123)
N(E_F) ... 1.76 states/eV/f.u.

***

Entry from the Alexandria database: crystalline LiSn2BiH at its relaxed geometry (GGA-PBE).

Unit cell a=5.019 b=5.019 c=4.330 alpha=90.00 beta=90.00 gamma=90.00
Fractional positions:
Li1 0.000 0.000 0.000
Sn1 0.000 0.500 0.500
Sn2 0.500 0.000 0.500
Bi1 0.500 0.500 0.000
H1 0.000 0.000 0.500

Properties
M_tot ... 0.000 μB/atom
Uncorrected energy ... -3.39 eV per atom
SG ... P4/mmm (123)
N(E_F) ... 1.22 states/eV/f.u.

***

Entry from the Alexandria database: crystalline Sr2Li5Bi3H2 at its relaxed geometry (GGA-PBE).

Unit cell a=11.758 b=11.758 c=11.758 alpha=156.32 beta=156.32 gamma=33.74
Fractional positions:
Sr1 0.188 0.188 0.000
Sr2 0.812 0.812 0.000
Li1 0.000 0.000 0.000
Li2 0.076 0.576 0.500
Li3 0.424 0.924 0.500
Li4 0.576 0.076 0.500
Li5 0.924 0.424 0.500
Bi1 0.343 0.343 0.000
Bi2 0.500 0.500 0.000
Bi3 0.657 0.657 0.000
H1 0.081 0.081 0.000
H2 0.919 0.919 0.000

Properties
M_tot ... 0.000 μB/atom
Uncorrected energy ... -3.16 eV per atom
SG ... I4/mmm (139)
N(E_F) ... 1.89 states/eV/f.u.

***

Entry from the Alexandria database: crystalline Sr2Li2Bi2H at its relaxed geometry (GGA-PBE).

Unit cell a=8.755 b=8.755 c=8.755 alpha=148.48 beta=148.48 gamma=45.18
Fractional positions:
Sr1 0.157 0.157 0.000
Sr2 0.843 0.843 0.000
Li1 0.000 0.500 0.500
Li2 0.500 0.000 0.500
Bi1 0.381 0.381 0.000
Bi2 0.619 0.619 0.000
H1 0.000 0.000 0.000

Properties
M_tot ... 0.000 μB/atom
Uncorrected energy ... -3.25 eV per atom
SG ... I4/mmm (139)
N(E_F) ... 3.54 states/eV/f.u.

***

Entry from the Alexandria database: crystalline Li2TlBiH at its relaxed geometry (GGA-PBE).

Unit cell a=4.781 b=4.781 c=4.373 alpha=90.00 beta=90.00 gamma=90.00
Fractional positions:
Li1 0.000 0.500 0.000
Li2 0.500 0.000 0.000
Tl1 0.000 0.000 0.500
Bi1 0.500 0.500 0.500
H1 0.500 0.500 0.000

Properties
M_tot ... 0.000 μB/atom
Uncorrected energy ... -2.79 eV per atom
Energy above the lowest structure with this stoichiometry ... 0.0681 eV/atom
SG ... P4/mmm (123)
N(E_F) ... 1.03 states/eV/f.u.

***

Entry from the Alexandria database: crystalline Li2TlBiH at its relaxed geometry (GGA-PBE).

Unit cell a=4.487 b=4.487 c=4.934 alpha=90.00 beta=90.00 gamma=90.00
Fractional positions:
Li1 0.000 0.500 0.000
Li2 0.500 0.000 0.000
Tl1 0.000 0.000 0.500
Bi1 0.500 0.500 0.500
H1 0.000 0.000 0.000

Properties
M_tot ... 0.000 μB/atom
Uncorrected energy ... -2.86 eV per atom
Energy above the lowest structure with this stoichiometry ... 0.0000 eV/atom
SG ... P4/mmm (123)
N(E_F) ... 0.71 states/eV/f.u.

***

Entry from the Alexandria database: crystalline LiY2BiH at its relaxed geometry (GGA-PBE).

Unit cell a=4.789 b=4.789 c=4.501 alpha=90.00 beta=90.00 gamma=90.00
Fractional positions:
Li1 0.000 0.000 0.000
Y1 0.000 0.500 0.500
Y2 0.500 0.000 0.500
Bi1 0.500 0.500 0.000
H1 0.000 0.000 0.500

Properties
M_tot ... 0.000 μB/atom
Uncorrected energy ... -4.88 eV per atom
SG ... P4/mmm (123)
N(E_F) ... 3.70 states/eV/f.u.

***

Copy entry 2 word for word.
Entry from the Alexandria database: crystalline Li2BiSbH at its relaxed geometry (GGA-PBE).

Unit cell a=4.740 b=4.740 c=4.321 alpha=90.00 beta=90.00 gamma=90.00
Fractional positions:
Li1 0.000 0.500 0.000
Li2 0.500 0.000 0.000
Bi1 0.000 0.000 0.500
Sb1 0.500 0.500 0.500
H1 0.500 0.500 0.000

Properties
M_tot ... 0.000 μB/atom
Uncorrected energy ... -3.21 eV per atom
Energy above the lowest structure with this stoichiometry ... 0.0000 eV/atom
SG ... P4/mmm (123)
N(E_F) ... 1.76 states/eV/f.u.